# 1
Computed, not measured: NbCd3Si after structural relaxation at the PBE level of DFT.

Cell lengths 4.9975, 4.9975, 4.9975 Å; angles 90.00, 90.00, 90.00 degrees
Positions (direct):
Nb: 0.0000 0.0000 0.0000
Cd: 0.0000 0.5000 0.5000
Cd: 0.5000 0.0000 0.5000
Cd: 0.5000 0.5000 0.0000
Si: 0.5000 0.5000 0.5000

Results
As for the density of states at the Fermi level: 6.94 states/eV per cell. The calculation puts the polymorph energy (0 for the lowest one) at 0.000 eV per atom. The value obtained for the formation energy without anion corrections is 1.074 eV/atom.



# 2
Computed, not measured: PaMn4S5 after structural relaxation at the PBE level of DFT.

Cell lengths 6.3610, 6.3610, 6.3610 Å; angles 99.96, 99.96, 130.85 degrees
Positions (direct):
Pa: 0.0000 0.0000 0.0000
Mn: 0.2093 0.6015 0.8108
Mn: 0.3985 0.2093 0.6079
Mn: 0.6015 0.7907 0.3921
Mn: 0.7907 0.3985 0.1892
S: 0.1032 0.3119 0.4150
S: 0.3119 0.8968 0.2087
S: 0.5000 0.5000 0.0000
S: 0.6881 0.1032 0.7913
S: 0.8968 0.6881 0.5850

Results
As for the density of states at the Fermi level: 5.61 states/eV per cell. The value obtained for the formation energy without anion corrections is -0.738 eV/atom.